Material: K7Ba
Method: DFT, PBEsol
State: optimized geometry

The structure in POSCAR format:
```
K7Ba
1.0
-0.3320 -0.1060 -9.1902
7.5579 -1.9796 -4.8519
0.5964 -7.9809 -4.5312
Ba K
1 7
Direct
0.0000 0.0000 0.0000
0.5000 0.0000 0.0000
0.0000 0.0000 0.5000
0.5000 0.0000 0.5000
0.0000 0.5000 0.5000
0.5000 0.5000 0.0000
0.5000 0.5000 0.5000
0.0000 0.5000 0.0000
```

Material: K2Ba
Method: DFT, PBEsol
State: optimized geometry

The structure in POSCAR format:
```
K2Ba
1.0
4.6969 0.0000 0.0000
0.0000 7.5314 0.0000
0.0000 -3.7657 11.1499
Ba K
2 4
Direct
0.2500 0.0835 0.1669
0.7500 0.9165 0.8331
0.2500 0.4235 0.8470
0.7500 0.5765 0.1530
0.2500 0.7403 0.4807
0.7500 0.2597 0.5193
```

Material: K2Ba
Method: DFT, PBEsol
State: optimized geometry

The structure in POSCAR format:
```
K2Ba
1.0
-0.2695 -3.6043 2.5631
-2.0603 -2.8218 -8.0148
11.0008 -0.4221 0.5630
Ba K
2 4
Direct
0.0036 0.0072 0.0043
0.6626 0.3252 0.3244
0.3905 0.7810 0.2785
0.0536 0.1072 0.6123
0.7263 0.4525 0.9491
0.3301 0.6602 0.6646
```

Material: KBa2
Method: DFT, PBEsol
State: optimized geometry

The structure in POSCAR format:
```
KBa2
1.0
4.1089 0.0000 0.0000
0.0000 4.1089 0.0000
-2.0544 -2.0544 21.7936
Ba K
4 2
Direct
0.5834 0.5834 0.1668
0.8334 0.3334 0.6668
0.4166 0.4166 0.8332
0.6666 0.1666 0.3332
0.2500 0.7500 0.5000
0.0000 0.0000 0.0000
```

| no. | ΔH_f (0 K) (eV per atom) | theoretical density (g cm⁻³) |
| --- | --- | --- |
| 1 | 0.065 | 1.2 |
| 2 | 0.100 | 1.8 |
| 3 | 0.099 | 1.8 |
| 4 | 0.157 | 2.8 |